The following is a DFT calculation (PBE-GGA) of a relaxed structure of Tb3Re5N12.

* size of the total moment: 0.1 μB per cell
* VASP energy: -9.29 eV/atom
* space-group type: Ia-3d (230)

Cell lengths 11.004, 11.004, 11.004 Å; angles 109.47, 109.47, 109.47 degrees
Positions (direct):
Tb  0.125  0.250  0.375
Tb  0.125  0.375  0.750
Tb  0.250  0.375  0.125
Tb  0.250  0.875  0.625
Tb  0.375  0.125  0.250
Tb  0.375  0.750  0.125
Tb  0.625  0.250  0.875
Tb  0.625  0.875  0.750
Tb  0.750  0.125  0.375
Tb  0.750  0.625  0.875
Tb  0.875  0.625  0.250
Tb  0.875  0.750  0.625
Re  0.000  0.000  0.000
Re  0.000  0.000  0.500
Re  0.000  0.500  0.000
Re  0.000  0.500  0.500
Re  0.125  0.750  0.875
Re  0.125  0.875  0.250
Re  0.250  0.125  0.875
Re  0.250  0.625  0.375
Re  0.375  0.250  0.625
Re  0.375  0.625  0.750
Re  0.500  0.000  0.000
Re  0.500  0.000  0.500
Re  0.500  0.500  0.000
Re  0.500  0.500  0.500
Re  0.625  0.375  0.250
Re  0.625  0.750  0.375
Re  0.750  0.375  0.625
Re  0.750  0.875  0.125
Re  0.875  0.125  0.750
Re  0.875  0.250  0.125
N  0.017  0.198  0.116
N  0.017  0.319  0.901
N  0.082  0.698  0.681
N  0.082  0.884  0.401
N  0.099  0.616  0.418
N  0.099  0.983  0.681
N  0.116  0.017  0.198
N  0.116  0.599  0.918
N  0.181  0.198  0.582
N  0.181  0.483  0.599
N  0.198  0.116  0.017
N  0.198  0.582  0.181
N  0.302  0.319  0.918
N  0.302  0.483  0.384
N  0.319  0.901  0.017
N  0.319  0.918  0.302
N  0.384  0.302  0.483
N  0.384  0.582  0.901
N  0.401  0.082  0.884
N  0.401  0.819  0.517
N  0.418  0.099  0.616
N  0.418  0.819  0.802
N  0.483  0.384  0.302
N  0.483  0.599  0.181
N  0.517  0.401  0.819
N  0.517  0.616  0.698
N  0.582  0.181  0.198
N  0.582  0.901  0.384
N  0.599  0.181  0.483
N  0.599  0.918  0.116
N  0.616  0.418  0.099
N  0.616  0.698  0.517
N  0.681  0.082  0.698
N  0.681  0.099  0.983
N  0.698  0.517  0.616
N  0.698  0.681  0.082
N  0.802  0.418  0.819
N  0.802  0.884  0.983
N  0.819  0.517  0.401
N  0.819  0.802  0.418
N  0.884  0.401  0.082
N  0.884  0.983  0.802
N  0.901  0.017  0.319
N  0.901  0.384  0.582
N  0.918  0.116  0.599
N  0.918  0.302  0.319
N  0.983  0.681  0.099
N  0.983  0.802  0.884



The following is a DFT calculation (PBE-GGA) of a relaxed structure of ThAlW.

* size of the total moment: 0.5 μB per cell
* VASP energy: -7.38 eV/atom
* space-group type: F-43m (216)

Cell lengths 4.653, 4.653, 4.653 Å; angles 60.00, 60.00, 60.00 degrees
Positions (direct):
Th  0.000  0.000  0.000
Al  0.250  0.250  0.250
W  0.500  0.500  0.500



The following is a DFT calculation (PBE-GGA) of a relaxed structure of LiGePd2.

* VASP energy: -4.64 eV/atom
* space-group type: P6_3/mmc (194)

Cell lengths 4.321, 4.321, 7.730 Å; angles 90.00, 90.00, 120.00 degrees
Positions (direct):
Li  0.000  0.000  0.000
Li  0.000  0.000  0.500
Ge  0.333  0.667  0.250
Ge  0.667  0.333  0.750
Pd  0.333  0.667  0.581
Pd  0.333  0.667  0.919
Pd  0.667  0.333  0.081
Pd  0.667  0.333  0.419



The following is a DFT calculation (PBE-GGA) of a relaxed structure of SmLuZn2Ge2.

* E above lowest polymorph: 0.0 meV per atom
* size of the total moment: 0.0 μB per cell
* VASP energy: -4.16 eV/atom
* space-group type: P6_3/mmc (194)

Cell lengths 4.239, 4.239, 15.573 Å; angles 90.00, 90.00, 120.00 degrees
Positions (direct):
Sm  0.000  0.000  0.000
Sm  0.000  0.000  0.500
Lu  0.000  0.000  0.250
Lu  0.000  0.000  0.750
Zn  0.333  0.667  0.153
Zn  0.333  0.667  0.347
Zn  0.667  0.333  0.653
Zn  0.667  0.333  0.847
Ge  0.333  0.667  0.618
Ge  0.333  0.667  0.882
Ge  0.667  0.333  0.118
Ge  0.667  0.333  0.382



The following is a DFT calculation (PBE-GGA) of a relaxed structure of YHoZn2Pb2.

* E above lowest polymorph: 5.5 meV per atom
* size of the total moment: 0.0 μB per cell
* VASP energy: -3.90 eV/atom
* space-group type: P6_3/mmc (194)

Cell lengths 4.590, 4.590, 15.994 Å; angles 90.00, 90.00, 120.00 degrees
Positions (direct):
Y  0.000  0.000  0.250
Y  0.000  0.000  0.750
Ho  0.000  0.000  0.000
Ho  0.000  0.000  0.500
Zn  0.333  0.667  0.165
Zn  0.333  0.667  0.335
Zn  0.667  0.333  0.665
Zn  0.667  0.333  0.835
Pb  0.333  0.667  0.609
Pb  0.333  0.667  0.891
Pb  0.667  0.333  0.109
Pb  0.667  0.333  0.391



The following is a DFT calculation (PBE-GGA) of a relaxed structure of NaTbZnS3.

* E above lowest polymorph: 0.0 meV per atom
* size of the total moment: 0.0 μB per cell
* VASP energy: -4.69 eV/atom
* space-group type: Pnma (62)

Cell lengths 10.621, 3.922, 12.941 Å; angles 90.00, 90.00, 90.00 degrees
Positions (direct):
Na  0.213  0.250  0.000
Na  0.287  0.750  0.500
Na  0.713  0.250  0.500
Na  0.787  0.750  0.000
Tb  0.015  0.750  0.262
Tb  0.485  0.250  0.762
Tb  0.515  0.750  0.238
Tb  0.985  0.250  0.738
Zn  0.234  0.750  0.783
Zn  0.266  0.250  0.283
Zn  0.734  0.750  0.717
Zn  0.766  0.250  0.217
S  0.050  0.750  0.878
S  0.095  0.250  0.393
S  0.238  0.250  0.674
S  0.262  0.750  0.174
S  0.405  0.750  0.893
S  0.450  0.250  0.378
S  0.550  0.750  0.622
S  0.595  0.250  0.107
S  0.738  0.250  0.826
S  0.762  0.750  0.326
S  0.905  0.750  0.607
S  0.950  0.250  0.122



The following is a DFT calculation (PBE-GGA) of a relaxed structure of Al10Co3.

* E above lowest polymorph: 0.0 meV per atom
* size of the total moment: 0.0 μB per cell
* VASP energy: -4.58 eV/atom
* space-group type: R-3m (166)

Cell lengths 9.205, 9.205, 9.205 Å; angles 31.48, 31.48, 31.48 degrees
Positions (direct):
Al  0.090  0.591  0.591
Al  0.149  0.149  0.149
Al  0.333  0.333  0.333
Al  0.409  0.409  0.910
Al  0.409  0.910  0.409
Al  0.591  0.090  0.591
Al  0.591  0.591  0.090
Al  0.667  0.667  0.667
Al  0.851  0.851  0.851
Al  0.910  0.409  0.409
Co  0.056  0.056  0.056
Co  0.500  0.500  0.500
Co  0.944  0.944  0.944



The following is a DFT calculation (PBE-GGA) of a relaxed structure of LaNd2Pb7.

* size of the total moment: 0.0 μB per cell
* VASP energy: -4.50 eV/atom
* space-group type: Cmmm (65)

Cell lengths 13.315, 13.315, 4.816 Å; angles 90.00, 90.00, 159.22 degrees
Positions (direct):
La  0.000  0.000  0.000
Nd  0.188  0.812  0.000
Nd  0.812  0.188  0.000
Pb  0.097  0.903  0.500
Pb  0.293  0.707  0.500
Pb  0.403  0.597  0.000
Pb  0.500  0.500  0.500
Pb  0.597  0.403  0.000
Pb  0.707  0.293  0.500
Pb  0.903  0.097  0.500



The following is a DFT calculation (PBE-GGA) of a relaxed structure of Dy2Ho2CI3Cl2.

* E above lowest polymorph: 19.0 meV per atom
* size of the total moment: 0.4 μB per cell
* VASP energy: -4.91 eV/atom
* space-group type: C2/m (12)

Cell lengths 9.267, 9.267, 8.495 Å; angles 102.15, 102.15, 24.20 degrees
Positions (direct):
Dy  0.134  0.134  0.057
Dy  0.866  0.866  0.943
Ho  0.499  0.499  0.190
Ho  0.501  0.501  0.810
C  0.000  0.000  0.000
I  0.000  0.000  0.500
I  0.329  0.329  0.664
I  0.671  0.671  0.336
Cl  0.341  0.341  0.154
Cl  0.659  0.659  0.846



The following is a DFT calculation (PBE-GGA) of a relaxed structure of NaLuPdS3.

* size of the total moment: 0.0 μB per cell
* VASP energy: -5.06 eV/atom
* space-group type: P2_1/m (11)

Cell lengths 7.881, 3.848, 8.984 Å; angles 90.00, 101.97, 90.00 degrees
Positions (direct):
Na  0.184  0.250  0.213
Na  0.816  0.750  0.787
Lu  0.340  0.750  0.847
Lu  0.660  0.250  0.153
Pd  0.110  0.250  0.573
Pd  0.890  0.750  0.427
S  0.100  0.250  0.843
S  0.258  0.750  0.535
S  0.424  0.750  0.150
S  0.576  0.250  0.850
S  0.742  0.250  0.465
S  0.900  0.750  0.157



The following is a DFT calculation (PBE-GGA) of a relaxed structure of GdHoSnC.

* size of the total moment: 0.0 μB per cell
* VASP energy: -6.13 eV/atom
* space-group type: P-6m2 (187)

Cell lengths 3.632, 3.632, 15.964 Å; angles 90.00, 90.00, 120.00 degrees
Positions (direct):
Gd  0.000  0.000  0.166
Gd  0.000  0.000  0.834
Ho  0.667  0.333  0.335
Ho  0.667  0.333  0.665
Sn  0.000  0.000  0.500
Sn  0.667  0.333  0.000
C  0.333  0.667  0.252
C  0.333  0.667  0.748



The following is a DFT calculation (PBE-GGA) of a relaxed structure of Bi2Pd.

* VASP energy: -4.64 eV/atom
* space-group type: I4/mmm (139)

Cell lengths 6.958, 6.958, 6.958 Å; angles 151.80, 151.80, 40.31 degrees
Positions (direct):
Bi  0.137  0.137  0.000
Bi  0.863  0.863  0.000
Pd  0.500  0.500  0.000



The following is a DFT calculation (PBE-GGA) of a relaxed structure of Lu4CdFeC2.

* size of the total moment: 2.1 μB per cell
* VASP energy: -5.87 eV/atom
* space-group type: P-6m2 (187)

Cell lengths 3.468, 3.468, 15.111 Å; angles 90.00, 90.00, 120.00 degrees
Positions (direct):
Lu  0.000  0.000  0.140
Lu  0.000  0.000  0.860
Lu  0.333  0.667  0.315
Lu  0.333  0.667  0.685
Cd  0.000  0.000  0.500
Fe  0.333  0.667  0.000
C  0.667  0.333  0.231
C  0.667  0.333  0.769



The following is a DFT calculation (PBE-GGA) of a relaxed structure of TlFeB4.

* E above lowest polymorph: 396.3 meV per atom
* size of the total moment: 2.8 μB per cell
* VASP energy: -5.56 eV/atom
* space-group type: Immm (71)

Cell lengths 4.852, 4.852, 4.852 Å; angles 143.69, 113.24, 78.44 degrees
Positions (direct):
Tl  0.000  0.000  0.000
Fe  0.500  0.500  0.000
B  0.100  0.761  0.339
B  0.423  0.761  0.661
B  0.577  0.239  0.339
B  0.900  0.239  0.661



The following is a DFT calculation (PBE-GGA) of a relaxed structure of YSiPt.

* size of the total moment: 0.0 μB per cell
* VASP energy: -7.18 eV/atom
* space-group type: Pnma (62)

Cell lengths 7.021, 4.294, 7.490 Å; angles 90.00, 90.00, 90.00 degrees
Positions (direct):
Y  0.002  0.250  0.200
Y  0.498  0.750  0.700
Y  0.502  0.250  0.300
Y  0.998  0.750  0.800
Si  0.187  0.250  0.588
Si  0.313  0.750  0.088
Si  0.687  0.250  0.912
Si  0.813  0.750  0.412
Pt  0.198  0.750  0.415
Pt  0.302  0.250  0.915
Pt  0.698  0.750  0.085
Pt  0.802  0.250  0.585



The following is a DFT calculation (PBE-GGA) of a relaxed structure of CdInPd2.

* E above lowest polymorph: 5.5 meV per atom
* VASP energy: -3.97 eV/atom
* space-group type: Cmmm (65)

Cell lengths 4.587, 4.587, 3.368 Å; angles 90.00, 90.00, 90.15 degrees
Positions (direct):
Cd  0.000  0.000  0.000
In  0.500  0.500  0.000
Pd  0.000  0.500  0.500
Pd  0.500  0.000  0.500



The following is a DFT calculation (PBE-GGA) of a relaxed structure of PmDyTm.

* E above lowest polymorph: 713.0 meV per atom
* size of the total moment: 0.0 μB per cell
* calculated formation energy: 0.708 eV/atom
* VASP energy: -3.90 eV/atom
* space-group type: F-43m (216)

Cell lengths 5.414, 5.414, 5.414 Å; angles 60.00, 60.00, 60.00 degrees
Positions (direct):
Pm  0.000  0.000  0.000
Dy  0.500  0.500  0.500
Tm  0.750  0.750  0.750



The following is a DFT calculation (PBE-GGA) of a relaxed structure of GdDyGaCo2.

* size of the total moment: 1.0 μB per cell
* VASP energy: -5.65 eV/atom
* space-group type: Amm2 (38)

Cell lengths 3.879, 6.840, 6.840 Å; angles 32.08, 90.00, 90.00 degrees
Positions (direct):
Gd  0.000  0.000  0.000
Dy  0.000  0.263  0.263
Ga  0.500  0.632  0.632
Co  0.500  0.428  0.428
Co  0.500  0.832  0.832



The following is a DFT calculation (PBE-GGA) of a relaxed structure of TmZr2In3Ir2.

* size of the total moment: 0.0 μB per cell
* VASP energy: -6.55 eV/atom
* space-group type: Amm2 (38)

Cell lengths 3.358, 7.621, 7.621 Å; angles 120.56, 90.00, 90.00 degrees
Positions (direct):
Tm  0.000  0.000  0.000
Zr  0.000  0.157  0.580
Zr  0.000  0.580  0.157
In  0.500  0.350  0.350
In  0.500  0.577  0.812
In  0.500  0.812  0.577
Ir  0.500  0.254  0.912
Ir  0.500  0.912  0.254